A plane-wave DFT calculation with meta-GGA SCAN was carried out for a crystal of ZrBe3Ir relaxed with PBEsol.

Structure (POSCAR):
```
ZrBe3Ir
1.0
4.120 0.000 0.000
0.000 4.120 0.000
0.000 0.000 4.120
Be Ir Zr
3 1 1
Direct
0.500 0.000 0.000
0.000 0.000 0.500
0.000 0.500 0.000
0.000 0.000 0.000
0.500 0.500 0.500
```

Calculated values
Total magnetic moment = 0.00 μB/cell
Energy relative to the elements = -0.242 eV per atom

***

A plane-wave DFT calculation with meta-GGA SCAN was carried out for a crystal of CaMgTeN2 relaxed with PBEsol.

Structure (POSCAR):
```
CaMgTeN2
1.0
-1.648 3.948 -0.399
-2.374 -1.327 -3.327
-4.178 -1.387 3.534
N Ca Te Mg
2 1 1 1
Direct
0.500 0.000 0.000
0.000 0.500 0.000
0.500 0.500 0.500
0.000 0.000 0.500
0.000 0.000 0.000
```

Calculated values
Total magnetic moment = 4.00 μB/cell
Uncorrected formation energy = 0.315 eV/atom

***

A plane-wave DFT calculation with meta-GGA SCAN was carried out for a crystal of ReNi relaxed with PBEsol.

Structure (POSCAR):
```
ReNi
1.0
-3.153 1.310 1.364
-1.983 -2.038 2.330
-0.216 0.948 3.546
Ni Re
1 1
Direct
0.000 0.000 0.000
0.250 0.250 0.250
```

Calculated values
Total magnetic moment = 0.00 μB/cell
Energy relative to the elements = 1.646 eV per atom

***

A plane-wave DFT calculation with meta-GGA SCAN was carried out for a crystal of LiCaAg2 relaxed with PBEsol.

Structure (POSCAR):
```
LiCaAg2
1.0
3.567 0.000 0.000
0.000 3.567 0.000
0.000 0.000 6.465
Ag Li Ca
2 1 1
Direct
0.500 0.500 0.214
0.000 0.000 0.990
0.500 0.500 0.817
0.000 0.000 0.479
```

Calculated values
Total magnetic moment = 0.00 μB/cell
Energy relative to the lowest polymorph listed for this composition = 0.39 eV/f.u.
Energy relative to the elements = -0.148 eV per atom

***

A plane-wave DFT calculation with meta-GGA SCAN was carried out for a crystal of Ba3TeOs relaxed with PBEsol.

Structure (POSCAR):
```
Ba3TeOs
1.0
-2.770 -5.220 -2.258
-2.057 -1.422 5.811
-5.303 3.278 -1.075
Ba Os Te
3 1 1
Direct
0.000 0.500 0.000
0.000 0.000 0.500
0.500 0.000 0.000
0.500 0.500 0.500
0.000 0.000 0.000
```

Calculated values
Total magnetic moment = 0.56 μB/cell
Uncorrected formation energy = 0.606 eV/atom

***

A plane-wave DFT calculation with meta-GGA SCAN was carried out for a crystal of YBiO2F2 relaxed with PBEsol.

Structure (POSCAR):
```
YBiO2F2
1.0
-0.087 3.119 2.281
2.042 -1.900 2.675
4.706 1.815 -2.303
F Y O Bi
2 1 2 1
Direct
0.000 0.500 0.218
0.500 0.000 0.782
0.000 0.000 0.000
0.500 0.000 0.253
0.000 0.500 0.747
0.500 0.500 0.500
```

Calculated values
Total magnetic moment = 0.00 μB/cell
Uncorrected formation energy = -2.938 eV/atom

***

A plane-wave DFT calculation with meta-GGA SCAN was carried out for a crystal of KBaLa2 relaxed with PBEsol.

Structure (POSCAR):
```
KBaLa2
1.0
6.276 0.000 0.000
-3.138 5.428 0.373
0.000 3.260 5.363
La Ba K
2 1 1
Direct
0.000 0.000 0.000
0.250 0.500 0.250
0.500 0.000 0.500
0.750 0.500 0.750
```

Calculated values
Total magnetic moment = 0.00 μB/cell
Energy relative to the lowest polymorph listed for this composition = 0.42 eV/f.u.
Energy relative to the elements = 0.408 eV per atom

***

A plane-wave DFT calculation with meta-GGA SCAN was carried out for a crystal of TaIn2W relaxed with PBEsol.

Structure (POSCAR):
```
TaIn2W
1.0
-1.687 -2.011 -1.391
-0.270 -0.162 2.954
-7.249 6.298 -0.317
W In Ta
1 2 1
Direct
0.500 0.500 0.268
0.000 0.000 0.023
0.500 0.500 0.733
0.000 0.000 0.477
```

Calculated values
Total magnetic moment = 0.00 μB/cell
Energy relative to the lowest polymorph listed for this composition = 0.00 eV/f.u.
Energy relative to the elements = 0.360 eV per atom

***

A plane-wave DFT calculation with meta-GGA SCAN was carried out for a crystal of CdInAg2 relaxed with PBEsol.

Structure (POSCAR):
```
CdInAg2
1.0
3.770 0.000 0.000
0.000 4.451 0.000
0.000 0.000 4.451
Ag Cd In
2 1 1
Direct
0.000 0.000 0.500
0.000 0.500 0.000
0.500 0.500 0.500
0.500 0.000 0.000
```

Calculated values
Total magnetic moment = 0.00 μB/cell
Energy relative to the elements = -0.006 eV per atom

***

A plane-wave DFT calculation with meta-GGA SCAN was carried out for a crystal of Mg17Al11Tl relaxed with PBEsol.

Structure (POSCAR):
```
Mg17Al11Tl
1.0
-5.017 -2.365 7.212
3.206 -7.499 -4.033
6.974 5.210 2.722
Mg Tl Al
17 1 11
Direct
0.599 0.279 0.596
0.344 0.344 0.340
0.998 0.400 0.684
0.400 0.998 0.684
0.279 0.599 0.596
0.686 0.393 0.002
0.656 0.006 0.004
0.684 0.001 0.397
0.995 0.995 0.653
0.307 0.307 0.715
0.602 0.602 0.284
0.715 0.317 0.317
0.393 0.686 0.002
0.001 0.684 0.397
0.317 0.715 0.317
0.006 0.656 0.004
0.003 0.003 0.001
0.625 0.625 0.823
0.368 0.002 0.184
0.367 0.185 0.998
0.190 0.003 0.368
0.815 0.181 0.814
0.003 0.190 0.368
0.181 0.815 0.814
0.002 0.368 0.184
0.825 0.825 0.200
0.185 0.367 0.998
0.634 0.821 0.628
0.821 0.634 0.628
```

Calculated values
Total magnetic moment = 0.00 μB/cell
Energy relative to the elements = -0.025 eV per atom

***

A plane-wave DFT calculation with meta-GGA SCAN was carried out for a crystal of La2CuHg relaxed with PBEsol.

Structure (POSCAR):
```
La2CuHg
1.0
-3.027 0.461 2.140
-0.304 -5.221 0.694
3.077 0.389 4.268
Cu La Hg
1 2 1
Direct
0.500 0.500 0.500
0.000 0.500 0.000
0.000 0.000 0.500
0.500 0.000 0.000
```

Calculated values
Total magnetic moment = 0.00 μB/cell
Energy relative to the elements = -0.401 eV per atom

***

A plane-wave DFT calculation with meta-GGA SCAN was carried out for a crystal of NaNi2PI relaxed with PBEsol.

Structure (POSCAR):
```
NaNi2PI
1.0
-0.716 4.102 -0.384
-0.827 -0.525 -4.066
-5.927 -0.910 1.324
I Ni P Na
1 2 1 1
Direct
0.500 0.500 0.500
0.000 0.500 0.000
0.500 0.000 0.000
0.000 0.000 0.000
0.000 0.000 0.500
```

Calculated values
Total magnetic moment = 1.55 μB/cell
Uncorrected formation energy = -0.032 eV/atom

***

Which of these has the highest total magnetic moment? CaMgTeN2